A plane-wave DFT calculation with PBE+U was carried out for a geometry-optimized Na2Ni3O6 structure.

```
data_Na2Ni3O6
_chemical_formula_sum 'Na2 Ni3 O6'
_cell_length_a 4.960
_cell_length_b 4.971
_cell_length_c 5.671
_cell_angle_alpha 81.61
_cell_angle_beta 73.63
_cell_angle_gamma 62.39
_space_group_name_H-M_alt 'P -1'
_space_group_IT_number 2
loop_
_space_group_symop_operation_xyz
'x,y,z'
'-x,-y,-z'
loop_
_atom_site_label
_atom_site_type_symbol
_atom_site_fract_x
_atom_site_fract_y
_atom_site_fract_z
_atom_site_occupancy
Na1 Na 0.169 0.172 0.001 1
Ni1 Ni 0.000 0.500 0.500 1
Ni2 Ni 0.334 0.833 0.500 1
O1 O 0.064 0.833 0.314 1
O2 O 0.261 0.509 0.684 1
O3 O 0.413 0.146 0.311 1
```

## Properties
Final energy ... -4.61 eV/atom